Pu5Hf: optimized geometry, PBE. Values from VASP.

- total DFT energy (no corrections) (eV per atom) = -13.37
- volume (A^3/atom) = 20.7
- formation enthalpy at 0 K (eV/atom) = 0.229

Cell and atoms, written as Quantum ESPRESSO input:
```
&SYSTEM
  ibrav = 0, nat = 6, ntyp = 2
/
ATOMIC_SPECIES
Pu 244.00 Pu.upf
Hf 178.49 Hf.upf
CELL_PARAMETERS angstrom
2.173 -5.808 0.000
2.173 5.808 0.000
0.000 0.000 4.927
ATOMIC_POSITIONS crystal
Pu 0.000 0.000 0.000
Pu 0.205 0.795 0.500
Pu 0.351 0.649 0.000
Pu 0.649 0.351 0.000
Pu 0.795 0.205 0.500
Hf 0.500 0.500 0.500
```



Ba3In2Pb2: optimized geometry, PBE. Values from VASP.

- total DFT energy (no corrections) (eV per atom) = -3.15
- volume (A^3/atom) = 40.0
- formation enthalpy at 0 K (eV/atom) = -0.487

Cell and atoms, written as Quantum ESPRESSO input:
```
&SYSTEM
  ibrav = 0, nat = 7, ntyp = 3
/
ATOMIC_SPECIES
Ba 137.33 Ba.upf
In 114.82 In.upf
Pb 207.20 Pb.upf
CELL_PARAMETERS angstrom
6.505 -2.588 0.000
6.505 2.588 0.000
-3.536 0.000 8.317
ATOMIC_POSITIONS crystal
Ba 0.000 0.000 0.000
Ba 0.175 0.175 0.631
Ba 0.825 0.825 0.369
In 0.306 0.306 0.064
In 0.694 0.694 0.936
Pb 0.470 0.470 0.661
Pb 0.530 0.530 0.339
```



NdAlCd: optimized geometry, PBE. Values from VASP.

- total DFT energy (no corrections) (eV per atom) = -3.34
- volume (A^3/atom) = 24.2
- formation enthalpy at 0 K (eV/atom) = -0.203

Cell and atoms, written as Quantum ESPRESSO input:
```
&SYSTEM
  ibrav = 0, nat = 3, ntyp = 3
/
ATOMIC_SPECIES
Nd 144.24 Nd.upf
Al 26.98 Al.upf
Cd 112.41 Cd.upf
CELL_PARAMETERS angstrom
-1.723 1.723 6.106
1.723 -1.723 6.106
1.723 1.723 -6.106
ATOMIC_POSITIONS crystal
Nd 0.000 0.000 0.000
Al 0.330 0.330 0.000
Cd 0.695 0.695 0.000
```



ZnH3Ru: optimized geometry, PBE. Values from VASP.

- total DFT energy (no corrections) (eV per atom) = -3.34
- volume (A^3/atom) = 7.8

Cell and atoms, written as Quantum ESPRESSO input:
```
&SYSTEM
  ibrav = 0, nat = 5, ntyp = 3
/
ATOMIC_SPECIES
Zn 65.41 Zn.upf
H 1.01 H.upf
Ru 101.07 Ru.upf
CELL_PARAMETERS angstrom
3.388 0.000 0.000
0.000 3.388 0.000
0.000 0.000 3.388
ATOMIC_POSITIONS crystal
Zn 0.000 0.000 0.000
H 0.000 0.000 0.500
H 0.000 0.500 0.000
H 0.500 0.000 0.000
Ru 0.500 0.500 0.500
```



HfZn2Ga2: optimized geometry, PBE. Values from VASP.

- total DFT energy (no corrections) (eV per atom) = -3.98
- volume (A^3/atom) = 16.5
- formation enthalpy at 0 K (eV/atom) = -0.272

Cell and atoms, written as Quantum ESPRESSO input:
```
&SYSTEM
  ibrav = 0, nat = 10, ntyp = 3
/
ATOMIC_SPECIES
Hf 178.49 Hf.upf
Zn 65.41 Zn.upf
Ga 69.72 Ga.upf
CELL_PARAMETERS angstrom
1.966 -10.743 0.000
1.966 10.743 0.000
0.000 0.000 3.915
ATOMIC_POSITIONS crystal
Hf 0.146 0.854 0.750
Hf 0.854 0.146 0.250
Zn 0.042 0.958 0.250
Zn 0.455 0.545 0.250
Zn 0.545 0.455 0.750
Zn 0.958 0.042 0.750
Ga 0.251 0.749 0.250
Ga 0.362 0.638 0.750
Ga 0.638 0.362 0.250
Ga 0.749 0.251 0.750
```



Nd3Sn2Pd: optimized geometry, PBE. Values from VASP.

- total DFT energy (no corrections) (eV per atom) = -5.38
- volume (A^3/atom) = 28.9
- formation enthalpy at 0 K (eV/atom) = -0.795

Cell and atoms, written as Quantum ESPRESSO input:
```
&SYSTEM
  ibrav = 0, nat = 24, ntyp = 3
/
ATOMIC_SPECIES
Nd 144.24 Nd.upf
Sn 118.71 Sn.upf
Pd 106.42 Pd.upf
CELL_PARAMETERS angstrom
12.552 0.000 0.000
0.000 4.612 0.000
0.000 0.000 11.989
ATOMIC_POSITIONS crystal
Nd 0.052 0.250 0.129
Nd 0.124 0.750 0.557
Nd 0.227 0.250 0.802
Nd 0.273 0.750 0.302
Nd 0.376 0.250 0.057
Nd 0.448 0.750 0.629
Nd 0.552 0.250 0.371
Nd 0.624 0.750 0.943
Nd 0.727 0.250 0.698
Nd 0.773 0.750 0.198
Nd 0.876 0.250 0.443
Nd 0.948 0.750 0.871
Sn 0.008 0.750 0.311
Sn 0.188 0.750 0.004
Sn 0.312 0.250 0.504
Sn 0.492 0.250 0.811
Sn 0.508 0.750 0.189
Sn 0.688 0.750 0.496
Sn 0.812 0.250 0.996
Sn 0.992 0.250 0.689
Pd 0.124 0.250 0.374
Pd 0.376 0.750 0.874
Pd 0.624 0.250 0.126
Pd 0.876 0.750 0.626
```



BeV2Tc: optimized geometry, PBE. Values from VASP.

- total DFT energy (no corrections) (eV per atom) = -8.22
- volume (A^3/atom) = 12.6
- formation enthalpy at 0 K (eV/atom) = -0.133

Cell and atoms, written as Quantum ESPRESSO input:
```
&SYSTEM
  ibrav = 0, nat = 4, ntyp = 3
/
ATOMIC_SPECIES
Be 9.01 Be.upf
V 50.94 V.upf
Tc 98.00 Tc.upf
CELL_PARAMETERS angstrom
3.966 0.000 0.000
0.000 3.966 0.000
0.000 0.000 3.205
ATOMIC_POSITIONS crystal
Be 0.000 0.000 0.000
V 0.000 0.500 0.500
V 0.500 0.000 0.500
Tc 0.500 0.500 0.000
```



LaLu2Tl: optimized geometry, PBE. Values from VASP.

- total DFT energy (no corrections) (eV per atom) = -4.00
- volume (A^3/atom) = 30.7
- formation enthalpy at 0 K (eV/atom) = 0.088

Cell and atoms, written as Quantum ESPRESSO input:
```
&SYSTEM
  ibrav = 0, nat = 4, ntyp = 3
/
ATOMIC_SPECIES
La 138.91 La.upf
Lu 174.97 Lu.upf
Tl 204.38 Tl.upf
CELL_PARAMETERS angstrom
1.736 1.002 11.774
-1.736 1.002 11.774
0.000 -2.004 11.774
ATOMIC_POSITIONS crystal
La 0.000 0.000 0.000
Lu 0.096 0.096 0.096
Lu 0.904 0.904 0.904
Tl 0.500 0.500 0.500
```



K3NpPa3Te8: optimized geometry, PBE. Values from VASP.

- total DFT energy (no corrections) (eV per atom) = -5.56
- volume (A^3/atom) = 38.1
- raw formation energy (eV per atom) = -0.90

Cell and atoms, written as Quantum ESPRESSO input:
```
&SYSTEM
  ibrav = 0, nat = 15, ntyp = 4
/
ATOMIC_SPECIES
K 39.10 K.upf
Np 237.00 Np.upf
Pa 231.04 Pa.upf
Te 127.60 Te.upf
CELL_PARAMETERS angstrom
4.392 2.536 8.543
-4.392 2.536 8.543
0.000 -5.072 8.543
ATOMIC_POSITIONS crystal
K 0.000 0.500 0.500
K 0.500 0.000 0.500
K 0.500 0.500 0.000
Np 0.500 0.500 0.500
Pa 0.000 0.000 0.500
Pa 0.000 0.500 0.000
Pa 0.500 0.000 0.000
Te 0.231 0.741 0.741
Te 0.238 0.238 0.238
Te 0.259 0.259 0.769
Te 0.259 0.769 0.259
Te 0.741 0.231 0.741
Te 0.741 0.741 0.231
Te 0.762 0.762 0.762
Te 0.769 0.259 0.259
```



K4Th3HgTe8: optimized geometry, PBE. Values from VASP.

- total DFT energy (no corrections) (eV per atom) = -4.34
- volume (A^3/atom) = 39.1
- raw formation energy (eV per atom) = -1.08

Cell and atoms, written as Quantum ESPRESSO input:
```
&SYSTEM
  ibrav = 0, nat = 16, ntyp = 4
/
ATOMIC_SPECIES
K 39.10 K.upf
Th 232.04 Th.upf
Hg 200.59 Hg.upf
Te 127.60 Te.upf
CELL_PARAMETERS angstrom
4.758 2.747 7.977
-4.758 2.747 7.977
0.000 -5.494 7.977
ATOMIC_POSITIONS crystal
K 0.000 0.000 0.000
K 0.000 0.500 0.500
K 0.500 0.000 0.500
K 0.500 0.500 0.000
Th 0.000 0.000 0.500
Th 0.000 0.500 0.000
Th 0.500 0.000 0.000
Hg 0.500 0.500 0.500
Te 0.213 0.746 0.746
Te 0.239 0.239 0.239
Te 0.254 0.254 0.787
Te 0.254 0.787 0.254
Te 0.746 0.213 0.746
Te 0.746 0.746 0.213
Te 0.761 0.761 0.761
Te 0.787 0.254 0.254
```



SrRuF2: optimized geometry, PBE. Values from VASP.

- total DFT energy (no corrections) (eV per atom) = -4.90
- volume (A^3/atom) = 16.0
- raw formation energy (eV per atom) = -1.23

Cell and atoms, written as Quantum ESPRESSO input:
```
&SYSTEM
  ibrav = 0, nat = 4, ntyp = 3
/
ATOMIC_SPECIES
Sr 87.62 Sr.upf
Ru 101.07 Ru.upf
F 19.00 F.upf
CELL_PARAMETERS angstrom
0.000 3.174 3.174
3.174 0.000 3.174
3.174 3.174 0.000
ATOMIC_POSITIONS crystal
Sr 0.000 0.000 0.000
Ru 0.500 0.500 0.500
F 0.250 0.250 0.250
F 0.750 0.750 0.750
```



Y6TmTh: optimized geometry, PBE. Values from VASP.

- total DFT energy (no corrections) (eV per atom) = -6.29
- volume (A^3/atom) = 32.1
- formation enthalpy at 0 K (eV/atom) = 0.041

Cell and atoms, written as Quantum ESPRESSO input:
```
&SYSTEM
  ibrav = 0, nat = 8, ntyp = 3
/
ATOMIC_SPECIES
Y 88.91 Y.upf
Tm 168.93 Tm.upf
Th 232.04 Th.upf
CELL_PARAMETERS angstrom
5.057 0.000 0.000
0.000 5.057 0.000
0.000 0.000 10.041
ATOMIC_POSITIONS crystal
Y 0.000 0.000 0.000
Y 0.000 0.000 0.500
Y 0.000 0.500 0.249
Y 0.000 0.500 0.751
Y 0.500 0.000 0.249
Y 0.500 0.000 0.751
Tm 0.500 0.500 0.500
Th 0.500 0.500 0.000
```



KDySiSe4: optimized geometry, PBE. Values from VASP.

- total DFT energy (no corrections) (eV per atom) = -4.80
- volume (A^3/atom) = 28.9
- raw formation energy (eV per atom) = -1.22

Cell and atoms, written as Quantum ESPRESSO input:
```
&SYSTEM
  ibrav = 0, nat = 14, ntyp = 4
/
ATOMIC_SPECIES
K 39.10 K.upf
Dy 162.50 Dy.upf
Si 28.09 Si.upf
Se 78.96 Se.upf
CELL_PARAMETERS angstrom
6.685 0.000 0.000
0.000 6.965 0.000
-2.751 0.000 8.679
ATOMIC_POSITIONS crystal
K 0.247 0.250 0.439
K 0.753 0.750 0.561
Dy 0.272 0.250 0.949
Dy 0.728 0.750 0.051
Si 0.276 0.750 0.171
Si 0.724 0.250 0.829
Se 0.072 0.750 0.921
Se 0.078 0.750 0.333
Se 0.494 0.504 0.788
Se 0.494 0.996 0.788
Se 0.506 0.004 0.212
Se 0.506 0.496 0.212
Se 0.922 0.250 0.667
Se 0.928 0.250 0.079
```



SrPmOs2O8: optimized geometry, PBE. Values from VASP.

- total DFT energy (no corrections) (eV per atom) = -7.45
- volume (A^3/atom) = 14.5
- raw formation energy (eV per atom) = -1.74

Cell and atoms, written as Quantum ESPRESSO input:
```
&SYSTEM
  ibrav = 0, nat = 12, ntyp = 4
/
ATOMIC_SPECIES
Sr 87.62 Sr.upf
Pm 145.00 Pm.upf
Os 190.23 Os.upf
O 16.00 O.upf
CELL_PARAMETERS angstrom
-2.737 2.737 5.825
2.737 -2.737 5.825
2.737 2.737 -5.825
ATOMIC_POSITIONS crystal
Sr 0.000 0.000 0.000
Pm 0.250 0.750 0.500
Os 0.500 0.500 0.000
Os 0.750 0.250 0.500
O 0.287 0.448 0.604
O 0.317 0.713 0.161
O 0.418 0.042 0.081
O 0.552 0.156 0.839
O 0.662 0.582 0.624
O 0.844 0.683 0.396
O 0.958 0.039 0.376
O 0.961 0.338 0.919
```



MnTl2Te: optimized geometry, PBE. Values from VASP.

- total DFT energy (no corrections) (eV per atom) = -4.04
- volume (A^3/atom) = 31.0
- raw formation energy (eV per atom) = 0.22

Cell and atoms, written as Quantum ESPRESSO input:
```
&SYSTEM
  ibrav = 0, nat = 4, ntyp = 3
/
ATOMIC_SPECIES
Mn 54.94 Mn.upf
Tl 204.38 Tl.upf
Te 127.60 Te.upf
CELL_PARAMETERS angstrom
5.220 0.000 0.000
0.000 4.596 0.000
-1.118 0.000 5.170
ATOMIC_POSITIONS crystal
Mn 0.000 0.000 0.000
Tl 0.327 0.500 0.225
Tl 0.673 0.500 0.775
Te 0.000 0.000 0.500
```



NaSrAs2H: optimized geometry, PBE. Values from VASP.

- total DFT energy (no corrections) (eV per atom) = -2.44
- volume (A^3/atom) = 29.2

Cell and atoms, written as Quantum ESPRESSO input:
```
&SYSTEM
  ibrav = 0, nat = 5, ntyp = 4
/
ATOMIC_SPECIES
Na 22.99 Na.upf
Sr 87.62 Sr.upf
As 74.92 As.upf
H 1.01 H.upf
CELL_PARAMETERS angstrom
4.888 0.000 0.000
0.000 4.888 0.000
0.000 0.000 6.111
ATOMIC_POSITIONS crystal
Na 0.000 0.000 0.000
Sr 0.000 0.000 0.500
As 0.000 0.500 0.000
As 0.500 0.000 0.000
H 0.500 0.500 0.500
```



Sm2Zn5Ni: optimized geometry, PBE. Values from VASP.

- total DFT energy (no corrections) (eV per atom) = -3.01
- volume (A^3/atom) = 19.1
- formation enthalpy at 0 K (eV/atom) = -0.310

Cell and atoms, written as Quantum ESPRESSO input:
```
&SYSTEM
  ibrav = 0, nat = 16, ntyp = 3
/
ATOMIC_SPECIES
Sm 150.36 Sm.upf
Zn 65.41 Zn.upf
Ni 58.69 Ni.upf
CELL_PARAMETERS angstrom
2.127 -8.035 0.000
2.127 8.035 0.000
0.000 0.000 8.947
ATOMIC_POSITIONS crystal
Sm 0.000 0.000 0.000
Sm 0.000 0.000 0.500
Sm 0.189 0.811 0.750
Sm 0.811 0.189 0.250
Zn 0.191 0.809 0.108
Zn 0.191 0.809 0.392
Zn 0.354 0.646 0.022
Zn 0.354 0.646 0.478
Zn 0.404 0.596 0.750
Zn 0.596 0.404 0.250
Zn 0.646 0.354 0.522
Zn 0.646 0.354 0.978
Zn 0.809 0.191 0.608
Zn 0.809 0.191 0.892
Ni 0.443 0.557 0.250
Ni 0.557 0.443 0.750
```



Ag2GeF8: optimized geometry, PBE. Values from VASP.

- total DFT energy (no corrections) (eV per atom) = -3.81
- volume (A^3/atom) = 13.9
- raw formation energy (eV per atom) = -1.51

Cell and atoms, written as Quantum ESPRESSO input:
```
&SYSTEM
  ibrav = 0, nat = 11, ntyp = 3
/
ATOMIC_SPECIES
Ag 107.87 Ag.upf
Ge 72.64 Ge.upf
F 19.00 F.upf
CELL_PARAMETERS angstrom
5.925 -2.153 0.000
5.925 2.153 0.000
-0.926 0.000 6.012
ATOMIC_POSITIONS crystal
Ag 0.177 0.177 0.160
Ag 0.823 0.823 0.840
Ge 0.500 0.500 0.500
F 0.062 0.062 0.385
F 0.283 0.283 0.905
F 0.346 0.346 0.468
F 0.485 0.485 0.207
F 0.515 0.515 0.793
F 0.654 0.654 0.532
F 0.717 0.717 0.095
F 0.938 0.938 0.615
```



Li2VTe: optimized geometry, PBE. Values from VASP.

- total DFT energy (no corrections) (eV per atom) = -3.86
- volume (A^3/atom) = 21.7
- raw formation energy (eV per atom) = 0.17

Cell and atoms, written as Quantum ESPRESSO input:
```
&SYSTEM
  ibrav = 0, nat = 8, ntyp = 3
/
ATOMIC_SPECIES
Li 6.94 Li.upf
V 50.94 V.upf
Te 127.60 Te.upf
CELL_PARAMETERS angstrom
-4.018 4.018 2.693
4.018 -4.018 2.693
4.018 4.018 -2.693
ATOMIC_POSITIONS crystal
Li 0.093 0.625 0.968
Li 0.375 0.343 0.468
Li 0.657 0.125 0.032
Li 0.875 0.907 0.532
V 0.250 0.750 0.500
V 0.500 0.500 0.000
Te 0.000 0.000 0.000
Te 0.750 0.250 0.500
```



Ti2Co6Ni: optimized geometry, PBE. Values from VASP.

- total DFT energy (no corrections) (eV per atom) = -7.23
- volume (A^3/atom) = 12.2
- formation enthalpy at 0 K (eV/atom) = -0.092

Cell and atoms, written as Quantum ESPRESSO input:
```
&SYSTEM
  ibrav = 0, nat = 9, ntyp = 3
/
ATOMIC_SPECIES
Ti 47.87 Ti.upf
Co 58.93 Co.upf
Ni 58.69 Ni.upf
CELL_PARAMETERS angstrom
3.980 -2.371 0.000
3.980 2.371 0.000
-1.825 0.000 5.825
ATOMIC_POSITIONS crystal
Ti 0.183 0.183 0.115
Ti 0.817 0.817 0.885
Co 0.186 0.712 0.302
Co 0.277 0.277 0.574
Co 0.288 0.814 0.698
Co 0.712 0.186 0.302
Co 0.723 0.723 0.426
Co 0.814 0.288 0.698
Ni 0.500 0.500 0.000
```